This record from Alexandria describes a geometry-optimized Mg3Zr3Tl structure. The functional is PBE-GGA. Values from VASP.

Computed properties:
crystal system	hexagonal
space group	No. 176
calculated total energy	-4.635	eV/atom

```
&SYSTEM
  ibrav = 0, nat = 14, ntyp = 3
/
ATOMIC_SPECIES
Mg 24.30 Mg.upf
Zr 91.22 Zr.upf
Tl 204.38 Tl.upf
CELL_PARAMETERS angstrom
8.444 0.000 0.000
-4.222 7.313 0.000
0.000 0.000 5.279
ATOMIC_POSITIONS crystal
Mg 0.094 0.472 0.250
Mg 0.379 0.906 0.250
Mg 0.472 0.379 0.750
Mg 0.528 0.621 0.250
Mg 0.621 0.094 0.750
Mg 0.906 0.528 0.750
Zr 0.052 0.230 0.750
Zr 0.178 0.948 0.750
Zr 0.230 0.178 0.250
Zr 0.770 0.822 0.750
Zr 0.822 0.052 0.250
Zr 0.948 0.770 0.250
Tl 0.333 0.667 0.750
Tl 0.667 0.333 0.250
```